No. 1
Compound: Li2CrPt
Source: Alexandria
Functional: PBE-GGA
Structure: optimized geometry

Total moment ... 5.85 μB per cell
Crystal system ... trigonal
DOS at the Fermi energy ... 12.6 states/eV/cell
Formation enthalpy at 0 K ... 0.02 eV/atom

a = 2.6882 Å, b = 2.6882 Å, c = 27.1510 Å
α = 90.00°, β = 90.00°, γ = 120.00°
Space group R-3m (No. 166, hexagonal axes)
Unique sites:
Li1 0.0000 0.0000 0.2453 [6 per cell]
Cr1 0.0000 0.0000 0.0000 [3 per cell]
Pt1 0.0000 0.0000 0.5000 [3 per cell]



No. 2
Compound: Li2CrPt
Source: Alexandria
Functional: PBE-GGA
Structure: optimized geometry

Total moment ... 3.64 μB per cell
Crystal system ... orthorhombic
DOS at the Fermi energy ... 2.6 states/eV/cell
Formation enthalpy at 0 K ... -0.12 eV/atom

a = 2.897 Å, b = 4.449 Å, c = 4.522 Å
α = 90.00°, β = 90.00°, γ = 90.00°
Space group Pmmm (No. 47)
Unique sites:
Li1 0.000 0.000 0.000 [1 per cell]
Li2 0.500 0.500 0.000 [1 per cell]
Cr1 0.000 0.500 0.500 [1 per cell]
Pt1 0.500 0.000 0.500 [1 per cell]



No. 3
Compound: LiCr2Pt
Source: Alexandria
Functional: PBE-GGA
Structure: optimized geometry

Total moment ... 0.00 μB per cell
Crystal system ... orthorhombic
DOS at the Fermi energy ... 3.1 states/eV/cell
Formation enthalpy at 0 K ... 0.09 eV/atom

a = 2.590 Å, b = 4.104 Å, c = 4.724 Å
α = 90.00°, β = 90.00°, γ = 90.00°
Space group Pmmm (No. 47)
Unique sites:
Li1 0.000 0.000 0.000 [1 per cell]
Cr1 0.500 0.500 0.227 [2 per cell]
Pt1 0.000 0.000 0.500 [1 per cell]



Repeat the second record exactly.
Compound: Li2CrPt
Source: Alexandria
Functional: PBE-GGA
Structure: optimized geometry

Total moment ... 3.64 μB per cell
Crystal system ... orthorhombic
DOS at the Fermi energy ... 2.6 states/eV/cell
Formation enthalpy at 0 K ... -0.12 eV/atom

a = 2.897 Å, b = 4.449 Å, c = 4.522 Å
α = 90.00°, β = 90.00°, γ = 90.00°
Space group Pmmm (No. 47)
Unique sites:
Li1 0.000 0.000 0.000 [1 per cell]
Li2 0.500 0.500 0.000 [1 per cell]
Cr1 0.000 0.500 0.500 [1 per cell]
Pt1 0.500 0.000 0.500 [1 per cell]



Which value of total moment does entry 3 give? 0.00 μB per cell



Repeat the second record exactly.
Compound: Li2CrPt
Source: Alexandria
Functional: PBE-GGA
Structure: optimized geometry

Total moment ... 3.64 μB per cell
Crystal system ... orthorhombic
DOS at the Fermi energy ... 2.6 states/eV/cell
Formation enthalpy at 0 K ... -0.12 eV/atom

a = 2.897 Å, b = 4.449 Å, c = 4.522 Å
α = 90.00°, β = 90.00°, γ = 90.00°
Space group Pmmm (No. 47)
Unique sites:
Li1 0.000 0.000 0.000 [1 per cell]
Li2 0.500 0.500 0.000 [1 per cell]
Cr1 0.000 0.500 0.500 [1 per cell]
Pt1 0.500 0.000 0.500 [1 per cell]



Among the records above, which one has the highest DOS at the Fermi energy? number 1